Here is a relaxed structure of Tb3Sb5Te12 from Alexandria via LeMat-Bulk. Energies are from GGA-PBE.

Calculated values
For the total magnetization, the calculation gives 0.0 μB per cell. The calculation puts the uncorrected formation energy at -413 meV per atom. As for the crystal system: cubic. The value obtained for the calculated volume is 2987 Å³/cell.

Cell and atoms, written as POSCAR:
```
Tb3Sb5Te12
1.0
15.7138 0.0000 0.0000
-5.2379 14.8151 0.0000
-5.2379 -7.4076 12.8303
Tb Sb Te
12 20 48
direct
0.7500 0.3750 0.1250
0.8750 0.7500 0.1250
0.3750 0.7500 0.6250
0.2500 0.1250 0.3750
0.8750 0.1250 0.2500
0.3750 0.6250 0.2500
0.6250 0.3750 0.7500
0.1250 0.8750 0.7500
0.7500 0.8750 0.6250
0.6250 0.2500 0.3750
0.1250 0.2500 0.8750
0.2500 0.6250 0.8750
0.1250 0.3750 0.2500
0.0000 0.5000 0.0000
0.0000 0.0000 0.0000
0.3750 0.2500 0.1250
0.5000 0.0000 0.5000
0.5000 0.5000 0.0000
0.1250 0.7500 0.3750
0.7500 0.1250 0.8750
0.7500 0.6250 0.3750
0.3750 0.1250 0.7500
0.6250 0.8750 0.2500
0.5000 0.5000 0.5000
0.5000 0.0000 0.0000
0.0000 0.0000 0.5000
0.2500 0.3750 0.6250
0.2500 0.8750 0.1250
0.0000 0.5000 0.5000
0.8750 0.2500 0.6250
0.6250 0.7500 0.8750
0.8750 0.6250 0.7500
0.7226 0.1404 0.0550
0.3324 0.5550 0.4146
0.9450 0.3596 0.2774
0.5550 0.2226 0.1404
0.5823 0.7226 0.6676
0.9450 0.5854 0.1676
0.3324 0.7774 0.4177
0.0854 0.9177 0.1404
0.5854 0.9450 0.6676
0.7226 0.5823 0.1676
0.7774 0.4450 0.3596
0.8324 0.9146 0.0550
0.1404 0.7226 0.5550
0.3596 0.4146 0.0823
0.0823 0.9146 0.3596
0.4177 0.1404 0.5854
0.0823 0.1676 0.2226
0.4450 0.6676 0.0854
0.8324 0.9177 0.2774
0.1404 0.4177 0.0854
0.3596 0.9450 0.7774
0.5854 0.6404 0.4177
0.9146 0.8324 0.5550
0.7774 0.3324 0.9177
0.4146 0.3596 0.5823
0.0854 0.1676 0.4450
0.2226 0.6676 0.0823
0.1676 0.0823 0.7226
0.6404 0.0550 0.2226
0.8596 0.5823 0.9146
0.5550 0.3324 0.9146
0.5823 0.8596 0.4146
0.9177 0.8324 0.7774
0.9177 0.0854 0.6404
0.8596 0.2774 0.4450
0.1676 0.0854 0.9450
0.6404 0.5854 0.9177
0.4146 0.0550 0.3324
0.2774 0.4177 0.8324
0.2226 0.5550 0.6404
0.9146 0.0823 0.8596
0.6676 0.2226 0.5823
0.4450 0.7774 0.8596
0.0550 0.4146 0.8324
0.4177 0.2774 0.3324
0.0550 0.6404 0.7226
0.6676 0.4450 0.5854
0.2774 0.8596 0.9450
```